Compound: LiY3Pd12
Source: Alexandria via LeMat-Bulk
Functional: GGA-PBE
Structure: relaxed

Properties
Energy of formation from the pure elements ... -0.687 eV/atom
Electronic total energy ... -5.9128 eV/atom
Fermi-level density of states ... 0.871 states/eV/atom
Calculated density ... 9.5 g/cm³

a b c (Å): 4.111 4.111 16.059
angles (deg): 90.00 90.00 90.00
Space group P4/mmm (No. 123)
Unique sites:
Li1 0.000 0.000 0.000
Y1 0.000 0.000 0.242
Y2 0.000 0.000 0.500
Pd1 0.000 0.500 0.113
Pd2 0.000 0.500 0.371
Pd3 0.500 0.500 0.000
Pd4 0.500 0.500 0.241
Pd5 0.500 0.500 0.500